# 1
PBE-GGA Pm3DySn2, optimized geometry; V = 30.79 Å³/atom; SG = P-4m2; crystal system = tetragonal
1.0
4.608 0.000 0.000
0.000 4.608 0.000
0.000 0.000 8.701
Sn Pm Dy
2 3 1
Direct
0.000 0.500 0.278
0.500 0.000 0.722
0.000 0.000 0.000
0.500 0.000 0.349
0.000 0.500 0.651
0.500 0.500 0.000

# 2
PBE-GGA Pm2DySn, optimized geometry; V = 31.92 Å³/atom; SG = R-3m; crystal system = trigonal
1.0
-0.441 1.117 -3.289
1.616 -1.641 -2.638
-9.058 -7.510 -3.199
Pm Dy Sn
2 1 1
Direct
0.094 0.094 0.719
0.906 0.906 0.281
0.000 0.000 0.000
0.500 0.500 0.500

no.,final energy (eV per atom)
1,-5.059
2,-4.525